No. 1
This record from Alexandria describes crystalline LiCeGaAg at its relaxed geometry. The functional is GGA-PBE.

Electronic total energy   -14.71 eV/f.u.
DFT formation energy   -23.69 kJ/mol of atoms
Density   6.304 g/cm³

Cell and atoms, written as CIF:
```
data_LiCeGaAg
_chemical_formula_sum 'Li4 Ce4 Ga4 Ag4'
_symmetry_space_group_name_H-M 'F -4 3 m'
_symmetry_Int_Tables_number 216
_symmetry_space_group_name_Hall 'F -4 2 3'
_cell_length_a 6.994
_cell_length_b 6.994
_cell_length_c 6.994
_cell_angle_alpha 90.00
_cell_angle_beta 90.00
_cell_angle_gamma 90.00
loop_
_atom_site_label
_atom_site_type_symbol
_atom_site_fract_x
_atom_site_fract_y
_atom_site_fract_z
_atom_site_occupancy
Li1 Li 0.000 0.000 0.000 1
Ce1 Ce 0.000 0.000 0.500 1
Ga1 Ga 0.250 0.250 0.750 1
Ag1 Ag 0.250 0.250 0.250 1
```

No. 2
This record from Alexandria describes crystalline La3YV at its relaxed geometry. The functional is GGA-PBE.

Electronic total energy   -24.66 eV/f.u.
DFT formation energy   110.17 kJ/mol of atoms
Density   4.689 g/cm³

Cell and atoms, written as CIF:
```
data_La3YV
_chemical_formula_sum 'La3 Y1 V1'
_symmetry_space_group_name_H-M 'P m -3 m'
_symmetry_Int_Tables_number 221
_symmetry_space_group_name_Hall '-P 4 2 3'
_cell_length_a 5.820
_cell_length_b 5.820
_cell_length_c 5.820
_cell_angle_alpha 90.00
_cell_angle_beta 90.00
_cell_angle_gamma 90.00
loop_
_atom_site_label
_atom_site_type_symbol
_atom_site_fract_x
_atom_site_fract_y
_atom_site_fract_z
_atom_site_occupancy
La1 La 0.000 0.000 0.500 1
Y1 Y 0.000 0.000 0.000 1
V1 V 0.500 0.500 0.500 1
```